# 1
A plane-wave DFT calculation with PBEsol was carried out for Tb4Ni3Bi8 after structural relaxation.

Cell lengths 4.4685, 4.4685, 18.4706 Å; angles 90.00, 90.00, 90.00 degrees
Sites, in units of the cell vectors:
Bi (0.0000, 0.5000, 0.9296)
Bi (0.0000, 0.0000, 0.7516)
Bi (0.0000, 0.5000, 0.4241)
Ni (0.0000, 0.0000, 0.0000)
Tb (0.0000, 0.5000, 0.6129)
Ni (0.5000, 0.5000, 0.5000)
Tb (0.5000, 0.0000, 0.3871)
Bi (0.0000, 0.0000, 0.2484)
Tb (0.5000, 0.0000, 0.8886)
Ni (0.0000, 0.0000, 0.5000)
Bi (0.5000, 0.5000, 0.2490)
Bi (0.5000, 0.0000, 0.0704)
Tb (0.0000, 0.5000, 0.1114)
Bi (0.5000, 0.0000, 0.5759)
Bi (0.5000, 0.5000, 0.7510)

**Crystal system**: tetragonal
**DFT formation energy**: -0.54 eV/atom
**M_tot**: 0.0 μB/f.u.
**Total energy**: -80.89 eV/f.u.



# 2
A plane-wave DFT calculation with PBEsol was carried out for Tc3NiBi after structural relaxation.

Cell lengths 4.9303, 4.9303, 4.9303 Å; angles 90.00, 90.00, 90.00 degrees
Last column: magnetic moment on the atom in μB.
Sites, in units of the cell vectors:
Tc (0.5000, 0.0000, 0.0000)  1.88
Ni (0.5000, 0.5000, 0.5000)  1.11
Tc (0.0000, 0.5000, 0.0000)  1.88
Bi (0.0000, 0.0000, 0.0000)  -0.03
Tc (0.0000, 0.0000, 0.5000)  1.88

**Crystal system**: cubic
**DFT formation energy**: 2.96 eV/atom
**M_tot**: 7.0 μB/f.u.
**Total energy**: -29.42 eV/f.u.
**Offset from the most stable computed form**: 8.02 eV/f.u.



# 3
A plane-wave DFT calculation with PBEsol was carried out for Tc3NiBi after structural relaxation.

Cell lengths 4.4551, 4.4551, 4.4551 Å; angles 90.00, 90.00, 90.00 degrees
Last column: magnetic moment on the atom in μB.
Sites, in units of the cell vectors:
Ni (0.0000, 0.0000, 0.0000)  0.62
Tc (0.0000, 0.5000, 0.0000)  1.01
Tc (0.5000, 0.0000, 0.0000)  1.01
Tc (0.0000, 0.0000, 0.5000)  1.01
Bi (0.5000, 0.5000, 0.5000)  -0.05

**Crystal system**: cubic
**DFT formation energy**: 1.36 eV/atom
**M_tot**: 3.9 μB/f.u.
**Total energy**: -37.44 eV/f.u.
**Offset from the most stable computed form**: 0.00 eV/f.u.



# 4
A plane-wave DFT calculation with PBEsol was carried out for TcNi3Bi after structural relaxation.

Cell lengths 4.4533, 4.4533, 4.4533 Å; angles 90.00, 90.00, 90.00 degrees
Sites, in units of the cell vectors:
Ni (0.0000, 0.5000, 0.0000)
Tc (0.0000, 0.0000, 0.0000)
Ni (0.0000, 0.0000, 0.5000)
Bi (0.5000, 0.5000, 0.5000)
Ni (0.5000, 0.0000, 0.0000)

**Crystal system**: cubic
**DFT formation energy**: 1.09 eV/atom
**M_tot**: 0.0 μB/f.u.
**Total energy**: -28.57 eV/f.u.